Entry 1:
A relaxed PrTlFeTe3 crystal. Source: OQMD via LeMat-Bulk, functional PBE.

```
24
Lattice="11.815 0.000 0.000 0.000 4.428 0.000 0.000 0.000 15.662" Properties=species:S:1:pos:R:3 pbc="T T T"
Fe 8.772 3.321 3.439
Fe 2.864 3.321 4.392
Fe 8.951 1.107 11.270
Fe 3.043 1.107 12.223
Pr 11.715 1.107 3.873
Pr 5.808 1.107 3.958
Pr 6.007 3.321 11.705
Pr 0.100 3.321 11.789
Te 10.808 3.321 1.770
Te 6.680 3.321 1.833
Te 2.871 1.107 2.803
Te 8.778 1.107 5.028
Te 0.773 3.321 5.998
Te 4.901 3.321 6.061
Te 6.914 1.107 9.601
Te 11.042 1.107 9.664
Te 3.037 3.321 10.634
Te 8.944 3.321 12.860
Te 5.135 1.107 13.829
Te 1.006 1.107 13.892
Tl 8.700 1.107 0.097
Tl 2.792 1.107 7.734
Tl 9.022 3.321 7.928
Tl 3.115 3.321 15.565
```

Calculated values
Total magnetic moment = 4.00 μB/f.u.
Final energy = -4.7737 eV per atom
Theoretical density = 6.4 g cm⁻³

Entry 2:
A relaxed Cu5Ag4 crystal. Source: OQMD via LeMat-Bulk, functional PBE.

```
9
Lattice="4.517 -1.385 0.000 4.517 1.385 0.000 -4.352 0.000 10.402" Properties=species:S:1:pos:R:3 pbc="T T T"
Ag -0.500 0.000 2.213
Ag 6.116 0.000 3.519
Ag -1.435 0.000 6.883
Ag 5.181 0.000 8.189
Cu 4.517 0.000 0.000
Cu 1.975 0.000 1.008
Cu 3.651 0.000 4.645
Cu 1.030 0.000 5.757
Cu 2.706 0.000 9.394
```

Calculated values
DFT formation energy = 98 meV per atom
Final energy = -3.2227 eV per atom
Theoretical density = 9.6 g cm⁻³

Entry 3:
A relaxed Pm5Sb3Ir crystal. Source: OQMD via LeMat-Bulk, functional PBE.

```
9
Lattice="-5.943 2.944 5.691 1.080 -8.598 -1.134 2.657 -0.034 2.793" Properties=species:S:1:pos:R:3 pbc="T T T"
Ir 0.000 0.000 0.000
Pm -0.076 0.678 2.741
Pm 1.584 -2.049 1.129
Pm -2.273 -0.920 4.812
Pm 0.068 -4.768 2.537
Pm -2.385 -4.335 4.876
Sb -3.594 1.780 3.441
Sb -1.922 -2.235 1.801
Sb 0.653 -5.199 -0.686
```

Calculated values
Total magnetic moment = 0.06 μB/f.u.
Final energy = -5.7002 eV per atom
Theoretical density = 8.4 g cm⁻³

Entry 4:
A relaxed Nb4TlNiC2 crystal. Source: OQMD via LeMat-Bulk, functional PBE.

```
8
Lattice="-2.099 -0.035 2.382 -0.691 -1.436 -2.746 5.543 -11.681 4.713" Properties=species:S:1:pos:R:3 pbc="T T T"
C 0.329 -4.107 0.229
C 2.893 -9.512 2.410
Nb -0.631 -2.607 1.522
Nb 1.982 -4.176 1.685
Nb 3.561 -7.505 3.028
Nb 2.914 -10.079 4.536
Ni 1.142 -6.343 3.029
Tl 0.000 0.000 0.000
```

Calculated values
Total magnetic moment = 0.01 μB/f.u.
Final energy = -8.6141 eV per atom
Theoretical density = 9.1 g cm⁻³

Entry 5:
A relaxed FeB4Os crystal. Source: OQMD via LeMat-Bulk, functional PBE.

```
6
Lattice="-1.616 -4.047 0.752 -2.878 1.318 3.087 0.790 0.366 -4.336" Properties=species:S:1:pos:R:3 pbc="T T T"
B -1.446 -1.949 -0.209
B -1.989 0.788 0.883
B -1.716 -3.150 -1.380
B -2.259 -0.414 -0.287
Fe 0.000 0.000 0.000
Os -2.247 -1.364 1.920
```

Calculated values
Total magnetic moment = 2.80 μB/f.u.
Final energy = -7.5198 eV per atom
Theoretical density = 9.6 g cm⁻³

Entry 6:
A relaxed TbEr2Cu4Si2Ge2 crystal. Source: OQMD via LeMat-Bulk, functional PBE.

```
11
Lattice="-2.058 3.305 6.883 2.058 -3.305 6.883 2.058 3.305 -6.883" Properties=species:S:1:pos:R:3 pbc="T T T"
Cu 0.000 1.260 4.484
Cu 0.000 1.260 9.282
Cu 2.058 2.045 -2.399
Cu 2.058 2.045 2.399
Er 0.000 0.000 1.785
Er 0.000 0.000 11.981
Ge 0.000 2.038 6.883
Ge 2.058 1.267 0.000
Si 0.000 3.305 2.992
Si 2.058 0.000 3.891
Tb 0.000 3.305 0.000
```

Calculated values
Total magnetic moment = 0.00 μB/f.u.
Final energy = -5.0718 eV per atom
Theoretical density = 8.4 g cm⁻³

Entry 7:
A relaxed Pr2DySn3Pt3 crystal. Source: OQMD via LeMat-Bulk, functional PBE.

```
9
Lattice="-0.272 3.673 1.831 -6.821 -1.908 2.813 6.310 -1.522 3.992" Properties=species:S:1:pos:R:3 pbc="T T T"
Dy -0.209 -1.403 2.784
Pr -3.107 -2.802 5.159
Pr 2.296 -2.643 5.644
Pt -0.003 -0.020 0.040
Pt -2.503 0.069 4.108
Pt 1.723 0.193 4.488
Sn -1.850 1.347 1.643
Sn 1.446 1.444 1.939
Sn -0.517 -0.722 5.991
```

Calculated values
Total magnetic moment = 0.00 μB/f.u.
Final energy = -5.9798 eV per atom
Theoretical density = 11.1 g cm⁻³

Entry 8:
A relaxed Gd2YMg3Tl2Zn crystal. Source: OQMD via LeMat-Bulk, functional PBE.

```
9
Lattice="4.580 0.000 0.000 0.000 6.509 3.771 0.000 -6.509 3.771" Properties=species:S:1:pos:R:3 pbc="T T T"
Gd 0.000 2.696 1.565
Gd 0.000 -2.696 1.565
Mg 2.290 0.000 1.770
Mg 2.290 1.531 6.654
Mg 2.290 -1.531 6.654
Tl 2.290 2.162 3.773
Tl 2.290 -2.162 3.773
Y 0.000 0.000 4.425
Zn 0.000 0.000 7.533
```

Calculated values
Total magnetic moment = 0.00 μB/f.u.
Final energy = -3.2714 eV per atom
Theoretical density = 7.0 g cm⁻³

Entry 9:
A relaxed ZnCdTeO crystal. Source: OQMD via LeMat-Bulk, functional PBE.

```
16
Lattice="6.147 0.000 0.000 0.000 8.994 0.000 0.000 0.000 5.861" Properties=species:S:1:pos:R:3 pbc="T T T"
Cd 0.054 2.910 0.491
Cd 3.128 6.084 0.491
Cd 3.019 2.910 3.421
Cd 6.093 6.084 3.421
O 0.606 0.629 0.694
O 3.680 8.365 0.694
O 2.467 0.629 3.624
O 5.541 8.365 3.624
Te 3.205 3.031 0.523
Te 0.131 5.963 0.523
Te 6.016 3.031 3.454
Te 2.942 5.963 3.454
Zn 0.713 0.503 2.688
Zn 3.787 8.491 2.688
Zn 2.360 0.503 5.619
Zn 5.434 8.491 5.619
```

Calculated values
Final energy = -3.3527 eV per atom
Theoretical density = 6.6 g cm⁻³

Entry 10:
A relaxed Si2Ag2Ge3 crystal. Source: OQMD via LeMat-Bulk, functional PBE.

```
7
Lattice="2.156 -4.642 5.926 2.422 -0.288 7.441 -1.669 -2.423 7.257" Properties=species:S:1:pos:R:3 pbc="T T T"
Ag 0.038 -0.096 0.268
Ag 1.441 -3.642 10.214
Ge 1.092 -2.762 7.746
Ge 1.818 -4.594 12.887
Ge 2.529 -6.393 17.932
Si 0.720 -1.820 5.105
Si 2.180 -5.510 15.454
```

Calculated values
Final energy = -3.9028 eV per atom
Theoretical density = 6.0 g cm⁻³

Entry 11:
A relaxed ZrScNO crystal. Source: OQMD via LeMat-Bulk, functional PBE.

```
16
Lattice="-1.157 -6.600 3.319 2.360 -3.013 -5.169 4.155 0.174 1.795" Properties=species:S:1:pos:R:3 pbc="T T T"
N 0.233 -5.901 2.890
N 2.254 -2.612 -2.106
N 3.103 -6.826 2.051
N 5.124 -3.537 -2.945
O 0.782 -2.792 1.319
O 1.711 -5.729 -0.547
O 3.646 -3.710 0.492
O 4.575 -6.647 -1.373
Sc 1.583 -3.632 -0.455
Sc 2.460 -6.869 -2.170
Sc 2.897 -2.570 2.115
Sc 3.773 -5.806 0.401
Zr 1.014 -7.037 1.192
Zr 3.075 -3.522 -3.918
Zr 2.282 -5.917 3.863
Zr 4.343 -2.401 -1.247
```

Calculated values
Total magnetic moment = 0.00 μB/f.u.
Final energy = -9.2107 eV per atom
Theoretical density = 5.1 g cm⁻³

Entry 12:
A relaxed Y2HfNi2 crystal. Source: OQMD via LeMat-Bulk, functional PBE.

```
5
Lattice="5.854 -1.859 0.496 3.010 1.203 5.240 -5.409 -2.431 -1.673" Properties=species:S:1:pos:R:3 pbc="T T T"
Hf 0.000 0.000 0.000
Ni 3.527 -0.261 2.283
Ni 5.337 -0.395 3.453
Y 2.438 -2.309 0.845
Y 1.017 -0.778 3.217
```

Calculated values
DFT formation energy = 131 meV per atom
Total magnetic moment = 0.00 μB/f.u.
Final energy = -6.6731 eV per atom
Theoretical density = 7.4 g cm⁻³

Entry 13:
A relaxed TlGaCuTe3 crystal. Source: OQMD via LeMat-Bulk, functional PBE.

```
12
Lattice="-3.011 2.327 -7.660 2.454 -2.685 -1.780 -6.001 -7.768 3.445" Properties=species:S:1:pos:R:3 pbc="T T T"
Cu -2.025 -4.281 -3.244
Cu -4.533 -3.846 -2.751
Ga -0.794 -1.334 -1.386
Ga -5.764 -6.793 -4.608
Te -1.826 -0.880 -8.099
Te -0.432 -2.322 -4.004
Te -2.766 -3.492 -0.848
Te -3.793 -4.635 -5.147
Te -6.126 -5.805 -1.991
Te -4.733 -7.247 2.105
Tl -3.406 -1.187 -5.207
Tl -3.153 -6.940 -0.787
```

Calculated values
Final energy = -3.2326 eV per atom
Theoretical density = 7.0 g cm⁻³

Entry 14:
A relaxed HfAlCuPd crystal. Source: OQMD via LeMat-Bulk, functional PBE.

```
8
Lattice="4.260 0.000 0.000 -2.130 3.689 0.000 0.000 0.000 8.262" Properties=species:S:1:pos:R:3 pbc="T T T"
Al 0.000 0.000 2.191
Al 0.000 0.000 6.071
Cu 2.130 1.230 2.833
Cu 2.130 1.230 5.429
Hf 2.130 1.230 0.000
Hf 0.000 2.459 4.131
Pd 0.000 2.459 1.401
Pd 0.000 2.459 6.861
```

Calculated values
Total magnetic moment = 0.00 μB/f.u.
Final energy = -6.2194 eV per atom
Theoretical density = 9.6 g cm⁻³

Entry 15:
A relaxed AcPrNO crystal. Source: OQMD via LeMat-Bulk, functional PBE.

```
8
Lattice="-2.064 -3.575 0.000 0.000 0.000 6.151 -6.183 3.570 0.000" Properties=species:S:1:pos:R:3 pbc="T T T"
Ac -2.061 -1.193 6.074
Ac -6.185 1.188 2.998
N -2.181 1.259 5.392
N -4.002 2.310 2.316
O -2.190 -1.119 2.449
O -6.056 1.113 5.525
Pr -2.044 1.180 3.026
Pr -4.139 2.390 6.101
```

Calculated values
Total magnetic moment = 0.83 μB/f.u.
Final energy = -7.3932 eV per atom
Theoretical density = 7.3 g cm⁻³

Entry 16:
A relaxed NiB2Sb crystal. Source: OQMD via LeMat-Bulk, functional PBE.

```
4
Lattice="2.081 1.202 3.399 -2.081 1.202 3.399 0.000 -2.403 3.399" Properties=species:S:1:pos:R:3 pbc="T T T"
B 0.000 0.000 0.000
B 0.000 0.000 7.647
Ni 0.000 0.000 2.549
Sb 0.000 0.000 5.098
```

Calculated values
Total magnetic moment = 0.00 μB/f.u.
Final energy = -4.3214 eV per atom
Theoretical density = 6.6 g cm⁻³

Entry 17:
A relaxed HfTlBi2 crystal. Source: OQMD via LeMat-Bulk, functional PBE.

```
4
Lattice="0.000 3.798 3.798 3.798 0.000 3.798 3.798 3.798 0.000" Properties=species:S:1:pos:R:3 pbc="T T T"
Bi 0.000 0.000 0.000
Bi 1.899 1.899 1.899
Hf 3.798 3.798 3.798
Tl 5.697 5.697 5.697
```

Calculated values
Total magnetic moment = 0.15 μB/f.u.
Final energy = -4.7254 eV per atom
Theoretical density = 12.1 g cm⁻³

Entry 18:
A relaxed ZnCdCoMo crystal. Source: OQMD via LeMat-Bulk, functional PBE.

```
4
Lattice="0.507 -2.545 3.552 -3.307 -2.563 1.359 0.276 -4.368 -0.445" Properties=species:S:1:pos:R:3 pbc="T T T"
Cd -0.631 -2.369 1.116
Co -1.893 -7.107 3.349
Mo -1.262 -4.738 2.233
Zn 0.000 0.000 0.000
```

Calculated values
DFT formation energy = 457 meV per atom
Total magnetic moment = 0.30 μB/f.u.
Final energy = -4.5721 eV per atom
Theoretical density = 9.2 g cm⁻³

Entry 19:
A relaxed LiCoAgTeS2 crystal. Source: OQMD via LeMat-Bulk, functional PBE.

```
12
Lattice="-0.771 2.456 -6.772 -2.528 -2.357 6.368 -0.136 9.352 3.407" Properties=species:S:1:pos:R:3 pbc="T T T"
Ag -2.332 0.611 5.500
Ag -1.103 8.840 -2.498
Co -1.650 0.050 -0.202
Co -1.718 4.726 1.501
Li -1.184 3.758 -3.091
Li -2.252 5.694 6.094
S -2.337 -1.719 4.970
S -2.402 2.735 6.593
S -1.033 6.717 -3.590
S -1.098 11.170 -1.968
Te -1.786 2.106 1.417
Te -1.649 7.345 1.585
```

Calculated values
Total magnetic moment = 0.00 μB/f.u.
Final energy = -4.1281 eV per atom
Theoretical density = 5.2 g cm⁻³

Entry 20:
A relaxed Mo4P3W2C3 crystal. Source: OQMD via LeMat-Bulk, functional PBE.

```
24
Lattice="4.844 -2.770 0.000 4.844 2.770 0.000 -2.946 0.000 11.558" Properties=species:S:1:pos:R:3 pbc="T T T"
C 2.422 1.385 0.000
C 5.602 1.337 0.018
C 2.614 1.337 5.761
C 0.949 -1.385 5.779
C 4.128 -1.337 5.797
C 1.141 -1.337 11.540
Mo 7.402 0.579 1.193
Mo 0.865 0.290 1.208
Mo 7.350 0.290 4.571
Mo 0.814 0.579 4.586
Mo 5.929 -0.579 6.972
Mo -0.608 -0.290 6.987
Mo 5.877 -0.290 10.350
Mo -0.660 -0.579 10.365
P 2.553 -0.408 2.885
P 4.108 2.215 2.889
P 5.662 -0.408 2.894
P 1.080 0.408 8.664
P 2.635 -2.215 8.668
P 4.189 0.408 8.672
W 3.914 0.489 0.997
W 4.301 0.489 4.782
W 2.441 -0.489 6.776
W 2.828 -0.489 10.561
```

Calculated values
Total magnetic moment = 0.00 μB/f.u.
Final energy = -9.5420 eV per atom
Theoretical density = 9.4 g cm⁻³